A PBEsol-optimized structure of Ce5AgS8. Source: the Alexandria database, functional meta-GGA SCAN.

Cell: 7.231 7.231 7.231 Å, 109.96 109.96 108.50°
Fractional coordinates of all 14 atoms:
Ce  0.000  0.000  0.000
Ce  0.133  0.513  0.878
Ce  0.487  0.365  0.620
Ce  0.635  0.255  0.122
Ce  0.745  0.867  0.380
Ag  0.250  0.750  0.500
S  0.019  0.257  0.402
S  0.223  0.115  0.753
S  0.362  0.470  0.247
S  0.384  0.981  0.239
S  0.530  0.777  0.892
S  0.743  0.145  0.761
S  0.855  0.616  0.598
S  0.885  0.638  0.108

Summary:
raw formation energy	-2.04	eV per atom
energy	-359.746	eV per cell
D(E_F)	0.5754	states/eV per atom
theoretical density	6.08	Mg/m³
symmetry	I-4

---

A PBEsol-optimized structure of SiTeN2Cl. Source: the Alexandria database, functional meta-GGA SCAN.

Cell: 3.632 3.632 5.680 Å, 90.00 90.00 90.00°
Fractional coordinates of all 5 atoms:
Si  0.000  0.000  0.000
Te  0.000  0.000  0.500
N  0.000  0.500  0.000
N  0.500  0.000  0.000
Cl  0.500  0.500  0.500

Summary:
raw formation energy	0.71	eV per atom
energy	-70.277	eV per cell
D(E_F)	0.4253	states/eV per atom
theoretical density	4.86	Mg/m³
symmetry	P4/mmm

---

A PBEsol-optimized structure of Li2FeRu. Source: the Alexandria database, functional meta-GGA SCAN.

Cell: 2.433 2.433 8.649 Å, 90.00 90.00 90.00°
Fractional coordinates of all 4 atoms:
Li  0.000  0.000  0.249
Li  0.000  0.000  0.751
Fe  0.500  0.500  0.500
Ru  0.500  0.500  0.000

Summary:
distance to the lowest polymorph of the same formula	153	meV/atom
E_form	281	meV/atom
energy	-56.613	eV per cell
D(E_F)	0.7281	states/eV per atom
theoretical density	5.54	Mg/m³
symmetry	P4/mmm

---

A PBEsol-optimized structure of ZnCrCdFe2. Source: the Alexandria database, functional meta-GGA SCAN.

Cell: 4.104 4.104 4.929 Å, 90.00 90.00 90.00°
Fractional coordinates of all 5 atoms:
Zn  0.000  0.000  0.000
Cr  0.500  0.500  0.500
Cd  0.500  0.500  0.000
Fe  0.000  0.500  0.500
Fe  0.500  0.000  0.500

Summary:
E_form	1257	meV/atom
energy	-92.289	eV per cell
D(E_F)	0.5614	states/eV per atom
theoretical density	6.83	Mg/m³
symmetry	P4/mmm